1.
DFT (GGA-PBE) results for a relaxed structure of Cd3TcH.

Cell lengths 4.3050, 4.3050, 4.3050 Å; angles 90.00, 90.00, 90.00 degrees
With the nearest neighbours (Å) after each atom.
Positions (direct):
Cd: 0.0000 0.0000 0.5000  2 H 2.15
Cd: 0.0000 0.5000 0.0000  2 H 2.15
Cd: 0.5000 0.0000 0.0000  2 H 2.15
Tc: 0.5000 0.5000 0.5000  12 Cd 3.04
H: 0.0000 0.0000 0.0000  6 Cd 2.15

Computed properties:
- excess energy over the best structure of this formula in the dataset (eV per atom) = 0.000

=====

2.
DFT (GGA-PBE) results for a relaxed structure of ScCd2Cu.

Cell lengths 8.3554, 8.3554, 8.3554 Å; angles 148.94, 148.94, 44.50 degrees
With the nearest neighbours (Å) after each atom.
Positions (direct):
Sc: 0.1468 0.1468 0.0000  4 Cu 2.75
Sc: 0.8532 0.8532 0.0000  4 Cu 2.75
Cd: 0.0000 0.5000 0.5000  8 Cd 3.16, 4 Sc 3.19
Cd: 0.3561 0.3561 0.0000  4 Cu 2.77
Cd: 0.5000 0.0000 0.5000  8 Cd 3.16, 4 Sc 3.19
Cd: 0.6439 0.6439 0.0000  4 Cu 2.77
Cu: 0.2500 0.7500 0.5000  4 Sc 2.75, 4 Cd 2.77
Cu: 0.7500 0.2500 0.5000  4 Sc 2.75, 4 Cd 2.77

Computed properties:
- formation energy from the elements (eV/atom) = -0.202

=====

3.
DFT (GGA-PBE) results for a relaxed structure of PrPuTiN3.

Cell lengths 7.2641, 3.5653, 7.7800 Å; angles 90.00, 96.91, 90.00 degrees
With the nearest neighbours (Å) after each atom.
Positions (direct):
Pr: 0.1619 0.2500 0.1682  5 N 2.47-2.68
Pr: 0.8381 0.7500 0.8318  5 N 2.47-2.68
Pu: 0.3680 0.7500 0.8359  3 N 2.22-2.38
Pu: 0.6320 0.2500 0.1641  3 N 2.22-2.38
Ti: 0.1081 0.2500 0.5974  4 N 1.95-2.03
Ti: 0.8919 0.7500 0.4026  4 N 1.95-2.03
N: 0.1150 0.2500 0.8490  1 Ti 1.95
N: 0.1630 0.7500 0.5047  3 Ti 1.98-2.03
N: 0.4139 0.7500 0.1230  3 Pu 2.22-2.38
N: 0.5861 0.2500 0.8770  3 Pu 2.22-2.38
N: 0.8370 0.2500 0.4953  3 Ti 1.98-2.03
N: 0.8850 0.7500 0.1510  1 Ti 1.95

Computed properties:
- ΔE_f (raw) (eV/f.u.) = -7.041

=====

Magnetization: 1.0, 0.0, 9.9 (μB/cell)